DFT (PBE+U) results for crystalline UCr2NiO8 at its relaxed geometry.

## Properties
electronic total energy	-7.674	eV per atom
total moment	0.500	μB per atom
ρ	6.38	g cm⁻³

Lattice parameters (Å, degrees): 4.757 4.753 6.092 89.18 89.19 89.18
Fractional coordinates of all 12 atoms:
Cr (0.506, 0.507, 0.238)
Cr (0.494, 0.493, 0.762)
Ni (0.000, 0.000, 0.000)
O (0.317, 0.316, 0.496)
O (0.792, 0.204, 0.249)
O (0.208, 0.796, 0.751)
O (0.797, 0.209, 0.751)
O (0.683, 0.684, 0.504)
O (0.682, 0.683, 0.007)
O (0.318, 0.317, 0.993)
O (0.203, 0.791, 0.249)
U (0.000, 0.000, 0.500)